[1]
Below is a relaxed structure of AlCu2Mo, with properties calculated at the GGA-PBE level.

```
data_AlCu2Mo
_chemical_formula_sum 'Al4 Cu8 Mo4'
_symmetry_space_group_name_H-M 'I -4 2 d'
_symmetry_Int_Tables_number 122
_symmetry_space_group_name_Hall 'I -4 2bw'
_cell_length_a 3.592
_cell_length_b 3.592
_cell_length_c 18.424
_cell_angle_alpha 90.00
_cell_angle_beta 90.00
_cell_angle_gamma 90.00
loop_
_atom_site_label
_atom_site_type_symbol
_atom_site_fract_x
_atom_site_fract_y
_atom_site_fract_z
Al1 Al 0.000 0.000 0.000
Cu1 Cu 0.242 0.250 0.125
Mo1 Mo 0.000 0.000 0.500
```

[2]
Below is a relaxed structure of Ce5Pb2, with properties calculated at the GGA-PBE level.

```
data_Ce5Pb2
_chemical_formula_sum 'Ce10 Pb4'
_symmetry_space_group_name_H-M 'C 1 2/m 1'
_symmetry_Int_Tables_number 12
_symmetry_space_group_name_Hall '-C 2y'
_cell_length_a 10.736
_cell_length_b 4.088
_cell_length_c 8.757
_cell_angle_alpha 90.00
_cell_angle_beta 100.78
_cell_angle_gamma 90.00
loop_
_atom_site_label
_atom_site_type_symbol
_atom_site_fract_x
_atom_site_fract_y
_atom_site_fract_z
Ce1 Ce 0.000 0.000 0.000
Ce2 Ce 0.165 0.000 0.444
Ce3 Ce 0.181 0.500 0.117
Pb1 Pb 0.079 0.500 0.724
```

[3]
Below is a relaxed structure of CsNa2Ca, with properties calculated at the GGA-PBE level.

```
data_CsNa2Ca
_chemical_formula_sum 'Cs3 Na6 Ca3'
_symmetry_space_group_name_H-M 'R 3 m'
_symmetry_Int_Tables_number 160
_symmetry_space_group_name_Hall 'R 3 -2"'
_cell_length_a 4.2354
_cell_length_b 4.2354
_cell_length_c 39.7566
_cell_angle_alpha 90.00
_cell_angle_beta 90.00
_cell_angle_gamma 120.00
loop_
_atom_site_label
_atom_site_type_symbol
_atom_site_fract_x
_atom_site_fract_y
_atom_site_fract_z
Cs1 Cs 0.0000 0.0000 0.0000
Na1 Na 0.0000 0.0000 0.5736
Na2 Na 0.0000 0.0000 0.7601
Ca1 Ca 0.0000 0.0000 0.1668
```

Calculated values
Energy above the most stable polymorph in this dataset (meV/atom): 65

Calculated formation energy
In order: 0.389, -0.241, 0.156
Unit: eV/atom